# 1
The following is a DFT calculation (PBE-GGA) of a relaxed Sr2ThSi6 crystal.

D(E_F), states/eV/f.u.: 6.6
M_tot, Bohr magnetons per cell: 0.000
Formation energy from raw total energies, eV/atom: -0.3891
Uncorrected energy, eV per atom: -5.20

Cell and atoms, written as CIF:
```
data_Sr2ThSi6
_symmetry_space_group_name_H-M 'P 1'
_symmetry_Int_Tables_number 1
_cell_length_a 4.359
_cell_length_b 7.241
_cell_length_c 7.241
_cell_angle_alpha 120.00
_cell_angle_beta 90.00
_cell_angle_gamma 90.00
loop_
_symmetry_equiv_pos_as_xyz
'x,y,z'
loop_
_atom_site_label
_atom_site_type_symbol
_atom_site_fract_x
_atom_site_fract_y
_atom_site_fract_z
Th1 Th 0.000 0.000 0.000
Si1 Si 0.500 0.672 0.672
Si2 Si 0.500 0.000 0.328
Si3 Si 0.500 0.328 0.000
Si4 Si 0.500 0.000 0.672
Si5 Si 0.500 0.328 0.328
Si6 Si 0.500 0.672 0.000
Sr1 Sr 0.000 0.667 0.333
Sr2 Sr 0.000 0.333 0.667
```

---

# 2
The following is a DFT calculation (PBE-GGA) of a relaxed Rb2AgH3 crystal.

M_tot, Bohr magnetons per cell: 0.000
Uncorrected energy, eV per atom: -2.57

Cell and atoms, written as CIF:
```
data_Rb2AgH3
_symmetry_space_group_name_H-M 'P 1'
_symmetry_Int_Tables_number 1
_cell_length_a 7.222
_cell_length_b 7.222
_cell_length_c 7.748
_cell_angle_alpha 106.83
_cell_angle_beta 106.83
_cell_angle_gamma 112.26
loop_
_symmetry_equiv_pos_as_xyz
'x,y,z'
loop_
_atom_site_label
_atom_site_type_symbol
_atom_site_fract_x
_atom_site_fract_y
_atom_site_fract_z
H1 H 0.237 0.481 0.718
H2 H 0.144 0.144 0.288
H3 H 0.856 0.856 0.712
H4 H 0.763 0.519 0.282
H5 H 0.481 0.237 0.718
H6 H 0.519 0.763 0.282
Rb1 Rb 0.750 0.250 0.500
Rb2 Rb 0.250 0.750 0.500
Rb3 Rb 0.736 0.736 0.000
Rb4 Rb 0.264 0.264 0.000
Ag1 Ag 0.276 0.276 0.552
Ag2 Ag 0.724 0.724 0.448
```

---

# 3
The following is a DFT calculation (PBE-GGA) of a relaxed TbPm3NdTm crystal.

D(E_F), states/eV/f.u.: 8.8
M_tot, Bohr magnetons per cell: 0.000
E_form, eV/atom: 0.02
Uncorrected energy, eV per atom: -4.67

Cell and atoms, written as CIF:
```
data_TbPm3NdTm
_symmetry_space_group_name_H-M 'P 1'
_symmetry_Int_Tables_number 1
_cell_length_a 5.123
_cell_length_b 8.065
_cell_length_c 10.818
_cell_angle_alpha 116.41
_cell_angle_beta 90.00
_cell_angle_gamma 90.00
loop_
_symmetry_equiv_pos_as_xyz
'x,y,z'
loop_
_atom_site_label
_atom_site_type_symbol
_atom_site_fract_x
_atom_site_fract_y
_atom_site_fract_z
Tb1 Tb 0.750 0.375 0.874
Tb2 Tb 0.250 0.625 0.126
Pm1 Pm 0.250 0.127 0.958
Pm2 Pm 0.250 0.628 0.458
Pm3 Pm 0.750 0.873 0.042
Pm4 Pm 0.750 0.378 0.208
Pm5 Pm 0.750 0.372 0.542
Pm6 Pm 0.250 0.622 0.792
Nd1 Nd 0.750 0.877 0.707
Nd2 Nd 0.250 0.123 0.293
Tm1 Tm 0.250 0.124 0.624
Tm2 Tm 0.750 0.876 0.376
```

---

# 4
The following is a DFT calculation (PBE-GGA) of a relaxed Ac5NiPt4 crystal.

D(E_F), states/eV/f.u.: 5.4
M_tot, Bohr magnetons per cell: 0.000
E_form, eV/atom: -0.97
Uncorrected energy, eV per atom: -6.02

Cell and atoms, written as CIF:
```
data_Ac5NiPt4
_symmetry_space_group_name_H-M 'P 1'
_symmetry_Int_Tables_number 1
_cell_length_a 4.375
_cell_length_b 6.194
_cell_length_c 11.549
_cell_angle_alpha 105.56
_cell_angle_beta 100.92
_cell_angle_gamma 90.00
loop_
_symmetry_equiv_pos_as_xyz
'x,y,z'
loop_
_atom_site_label
_atom_site_type_symbol
_atom_site_fract_x
_atom_site_fract_y
_atom_site_fract_z
Pt1 Pt 0.400 0.400 0.801
Pt2 Pt 0.600 0.600 0.199
Pt3 Pt 0.802 0.802 0.604
Pt4 Pt 0.198 0.198 0.396
Ni1 Ni 0.000 0.000 0.000
Ac1 Ac 0.598 0.098 0.195
Ac2 Ac 0.000 0.500 0.000
Ac3 Ac 0.201 0.701 0.401
Ac4 Ac 0.799 0.299 0.599
Ac5 Ac 0.402 0.902 0.805
```

---

# 5
The following is a DFT calculation (PBE-GGA) of a relaxed ZrHg2Br crystal.

D(E_F), states/eV/f.u.: 4.1
Excess energy over the best structure of this formula in the dataset, meV/atom: 269
M_tot, Bohr magnetons per cell: 0.573
Formation energy from raw total energies, eV/atom: -0.1165
Uncorrected energy, eV per atom: -2.82

Cell and atoms, written as CIF:
```
data_ZrHg2Br
_symmetry_space_group_name_H-M 'P 1'
_symmetry_Int_Tables_number 1
_cell_length_a 7.207
_cell_length_b 7.207
_cell_length_c 4.718
_cell_angle_alpha 70.85
_cell_angle_beta 70.85
_cell_angle_gamma 26.10
loop_
_symmetry_equiv_pos_as_xyz
'x,y,z'
loop_
_atom_site_label
_atom_site_type_symbol
_atom_site_fract_x
_atom_site_fract_y
_atom_site_fract_z
Zr1 Zr 0.750 0.750 0.750
Hg1 Hg 0.449 0.449 0.550
Hg2 Hg 0.051 0.051 0.950
Br1 Br 0.250 0.250 0.250
```

---

# 6
The following is a DFT calculation (PBE-GGA) of a relaxed ZnNi3Sn5 crystal.

D(E_F), states/eV/f.u.: 3.9
M_tot, Bohr magnetons per cell: 0.000
E_form, eV/atom: -0.08
Uncorrected energy, eV per atom: -4.37

Cell and atoms, written as CIF:
```
data_ZnNi3Sn5
_symmetry_space_group_name_H-M 'P 1'
_symmetry_Int_Tables_number 1
_cell_length_a 7.059
_cell_length_b 7.059
_cell_length_c 9.354
_cell_angle_alpha 65.92
_cell_angle_beta 65.92
_cell_angle_gamma 76.73
loop_
_symmetry_equiv_pos_as_xyz
'x,y,z'
loop_
_atom_site_label
_atom_site_type_symbol
_atom_site_fract_x
_atom_site_fract_y
_atom_site_fract_z
Sn1 Sn 0.616 0.049 0.652
Sn2 Sn 0.717 0.283 0.000
Sn3 Sn 0.951 0.384 0.348
Sn4 Sn 0.049 0.616 0.652
Sn5 Sn 0.229 0.229 0.994
Sn6 Sn 0.567 0.567 0.636
Sn7 Sn 0.283 0.717 0.000
Sn8 Sn 0.433 0.433 0.364
Sn9 Sn 0.384 0.951 0.348
Sn10 Sn 0.771 0.771 0.006
Ni1 Ni 0.686 0.686 0.315
Ni2 Ni 0.314 0.314 0.685
Ni3 Ni 0.665 0.665 0.827
Ni4 Ni 0.335 0.335 0.173
Ni5 Ni 0.000 0.000 0.500
Ni6 Ni 0.000 0.000 0.000
Zn1 Zn 0.086 0.086 0.694
Zn2 Zn 0.914 0.914 0.306
```

---

The lowest uncorrected energy belongs to which entry?
Ac5NiPt4